This record from the Alexandria database describes an optimized crystal structure of NbBIr2Au. The functional is GGA-PBE.

Cell: 4.1217 4.1217 4.4041 Å, 90.00 90.00 90.00°
With the nearest neighbours (Å) after each atom.
Fractional coordinates of all 5 atoms:
Nb1 0.0000 0.0000 0.0000  2 B 2.20
B1 0.0000 0.0000 0.5000  4 Ir 2.06, 2 Nb 2.20
Ir1 0.0000 0.5000 0.5000  2 B 2.06
Ir2 0.5000 0.0000 0.5000  2 B 2.06
Au1 0.5000 0.5000 0.0000  4 Nb 2.91, 8 Ir 3.02

## Properties
Total magnetization: 0.0000 μB per atom
DOS at the Fermi energy: 5.6 states/eV/cell
Formation enthalpy at 0 K: 0.039 eV/atom
Space-group type: P4/mmm

***

This record from the Alexandria database describes an optimized crystal structure of BIrRh2Au. The functional is GGA-PBE.

Cell: 4.8253 4.8253 3.9461 Å, 90.00 90.00 90.00°
With the nearest neighbours (Å) after each atom.
Fractional coordinates of all 5 atoms:
B1 0.0000 0.0000 0.0000  2 Ir 1.97
Ir1 0.0000 0.0000 0.5000  2 B 1.97
Rh1 0.0000 0.5000 0.5000  2 Ir 2.41
Rh2 0.5000 0.0000 0.5000  2 Ir 2.41
Au1 0.5000 0.5000 0.0000  8 Rh 3.12, 4 B 3.41

## Properties
Total magnetization: 0.0001 μB per atom
DOS at the Fermi energy: 6.4 states/eV/cell
Formation enthalpy at 0 K: 1.210 eV/atom
Space-group type: P4/mmm

***

This record from the Alexandria database describes an optimized crystal structure of BIr2RuAu. The functional is GGA-PBE.

Cell: 4.7447 4.7447 3.9783 Å, 90.00 90.00 90.00°
With the nearest neighbours (Å) after each atom.
Fractional coordinates of all 5 atoms:
B1 0.0000 0.0000 0.0000  2 Ru 1.99
Ir1 0.0000 0.5000 0.5000  2 Ru 2.37
Ir2 0.5000 0.0000 0.5000  2 Ru 2.37
Ru1 0.0000 0.0000 0.5000  2 B 1.99
Au1 0.5000 0.5000 0.0000  8 Ir 3.10, 4 B 3.36

## Properties
Total magnetization: 0.0000 μB per atom
DOS at the Fermi energy: 5.6 states/eV/cell
Formation enthalpy at 0 K: 1.564 eV/atom
Space-group type: P4/mmm

***

This record from the Alexandria database describes an optimized crystal structure of BSbIr2Au. The functional is GGA-PBE.

Cell: 4.9961 4.9961 5.1027 Å, 90.00 90.00 90.00°
With the nearest neighbours (Å) after each atom.
Fractional coordinates of all 5 atoms:
B1 0.0000 0.0000 0.0000  4 Sb 3.53, 8 Ir 3.57
Sb1 0.5000 0.5000 0.0000  2 Au 2.55
Ir1 0.0000 0.5000 0.5000  2 Au 2.50
Ir2 0.5000 0.0000 0.5000  2 Au 2.50
Au1 0.5000 0.5000 0.5000  4 Ir 2.50, 2 Sb 2.55

## Properties
Formation energy from raw total energies: 2.5850 eV/atom
Total magnetization: 0.4074 μB per atom
DOS at the Fermi energy: 7.1 states/eV/cell
Space-group type: P4/mmm

***

This record from the Alexandria database describes an optimized crystal structure of YBIr2Au. The functional is GGA-PBE.

Cell: 4.2576 4.2576 4.4541 Å, 90.00 90.00 90.00°
With the nearest neighbours (Å) after each atom.
Fractional coordinates of all 5 atoms:
Y1 0.0000 0.0000 0.0000  4 Au 3.01, 8 Ir 3.08
B1 0.5000 0.5000 0.5000  4 Ir 2.13, 2 Au 2.23
Ir1 0.0000 0.5000 0.5000  2 B 2.13
Ir2 0.5000 0.0000 0.5000  2 B 2.13
Au1 0.5000 0.5000 0.0000  2 B 2.23

## Properties
Total magnetization: 0.0000 μB per atom
DOS at the Fermi energy: 1.6 states/eV/cell
Formation enthalpy at 0 K: -0.453 eV/atom
Space-group type: P4/mmm

***

This record from the Alexandria database describes an optimized crystal structure of K3BAu. The functional is GGA-PBE.

Cell: 5.9694 5.9694 5.9694 Å, 90.00 90.00 90.00°
With the nearest neighbours (Å) after each atom.
Fractional coordinates of all 5 atoms:
K1 0.0000 0.0000 0.5000  2 B 2.98
K2 0.0000 0.5000 0.0000  2 B 2.98
K3 0.5000 0.0000 0.0000  2 B 2.98
B1 0.0000 0.0000 0.0000  6 K 2.98
Au1 0.5000 0.5000 0.5000  12 K 4.22

## Properties
Total magnetization: 0.6000 μB per atom
DOS at the Fermi energy: 0.7 states/eV/cell
Formation enthalpy at 0 K: 0.680 eV/atom
Space-group type: Pm-3m